Version one
This record from the Alexandria database describes crystalline Na2Sr4Rh at its relaxed geometry. The functional is PBE-GGA.

Magnetization: 0.0 μB/cell

Geometry as POSCAR:
```
Na2Sr4Rh
1.0
-0.032 2.099 -3.819
6.872 -1.774 -1.033
-5.923 -8.485 -2.128
Sr Rh Na
4 1 2
direct
0.582 0.240 0.165 Sr
0.418 0.760 0.835 Sr
0.088 0.756 0.176 Sr
0.912 0.244 0.824 Sr
0.000 0.000 0.000 Rh
0.249 0.257 0.497 Na
0.751 0.743 0.503 Na
```

Version two
This record from the Alexandria database describes crystalline Na2Sr4Rh at its relaxed geometry. The functional is PBE-GGA.

Magnetization: 0.0 μB/cell

Geometry as POSCAR:
```
Na2Sr4Rh
1.0
5.855 0.000 0.000
0.000 5.855 0.000
2.928 2.928 9.383
Rh Sr Na
1 4 2
direct
0.000 0.000 0.000 Rh
0.500 0.000 0.000 Sr
0.841 0.841 0.318 Sr
0.159 0.159 0.682 Sr
0.000 0.500 0.000 Sr
0.361 0.361 0.277 Na
0.639 0.639 0.723 Na
```

Energies relative to the most stable structure, in meV/atom: version one 0; version two 40.

Version one
This record from the Alexandria database describes crystalline Na3SrRh at its relaxed geometry. The functional is PBE-GGA.

Magnetization: 0.0 μB/cell

Geometry as POSCAR:
```
Na3SrRh
1.0
-4.199 -4.141 0.915
2.748 -1.676 5.025
-3.230 3.957 3.086
Sr Rh Na
1 1 3
direct
0.000 0.000 0.000 Sr
0.500 0.500 0.500 Rh
0.000 0.500 0.000 Na
0.000 0.000 0.500 Na
0.500 0.000 0.000 Na
```

Version two
This record from the Alexandria database describes crystalline Na3SrRh at its relaxed geometry. The functional is PBE-GGA.

Magnetization: 0.0 μB/cell

Geometry as POSCAR:
```
Na3SrRh
1.0
5.462 0.000 0.000
0.000 5.462 0.000
0.000 0.000 5.462
Na Sr Rh
3 1 1
direct
0.000 0.000 0.500 Na
0.000 0.500 0.000 Na
0.500 0.000 0.000 Na
0.500 0.500 0.500 Sr
0.000 0.000 0.000 Rh
```

Energies relative to the most stable structure, in meV/atom: version one 1067; version two 0.

Version one
This record from the Alexandria database describes crystalline NaSr2TlRh at its relaxed geometry. The functional is PBE-GGA.

Magnetization: 0.0 μB/cell

Geometry as POSCAR:
```
NaSr2TlRh
1.0
-2.200 3.327 -4.071
-2.818 -4.472 -2.132
-4.302 1.154 3.267
Tl Sr Na Rh
1 2 1 1
direct
0.500 0.500 0.500 Tl
0.500 0.000 0.000 Sr
0.000 0.500 0.000 Sr
0.000 0.000 0.500 Na
0.000 0.000 0.000 Rh
```

Version two
This record from the Alexandria database describes crystalline NaSr2TlRh at its relaxed geometry. The functional is PBE-GGA.

Magnetization: 0.0 μB/cell

Geometry as POSCAR:
```
NaSr2TlRh
1.0
-5.368 -1.837 1.293
2.051 -2.644 4.761
-0.844 4.466 2.843
Tl Sr Na Rh
1 2 1 1
direct
0.000 0.000 0.500 Tl
0.000 0.500 0.000 Sr
0.500 0.000 0.000 Sr
0.500 0.500 0.500 Na
0.000 0.000 0.000 Rh
```

Energies relative to the most stable structure, in meV/atom: version one 185; version two 0.

Version one
This record from the Alexandria database describes crystalline NaSrTl2Rh at its relaxed geometry. The functional is PBE-GGA.

Magnetization: 0.0 μB/cell

Geometry as POSCAR:
```
NaSrTl2Rh
1.0
5.367 0.000 0.000
0.000 5.367 0.000
0.000 0.000 5.622
Sr Tl Na Rh
1 2 1 1
direct
0.000 0.000 0.500 Sr
0.000 0.500 0.000 Tl
0.500 0.000 0.000 Tl
0.500 0.500 0.500 Na
0.000 0.000 0.000 Rh
```

Version two
This record from the Alexandria database describes crystalline NaSrTl2Rh at its relaxed geometry. The functional is PBE-GGA.

Magnetization: 0.0 μB/cell

Geometry as POSCAR:
```
NaSrTl2Rh
1.0
-2.457 -3.269 -3.351
4.054 -3.378 0.322
-2.375 -2.456 4.138
Rh Tl Na Sr
1 2 1 1
direct
0.000 0.000 0.000 Rh
0.500 0.000 0.000 Tl
0.000 0.500 0.000 Tl
0.000 0.000 0.500 Na
0.500 0.500 0.500 Sr
```

Energies relative to the most stable structure, in meV/atom: version one 0; version two 71.

Version one
This record from the Alexandria database describes crystalline NaTa2Rh2 at its relaxed geometry. The functional is PBE-GGA.

Magnetization: 0.0 μB/cell

Geometry as POSCAR:
```
NaTa2Rh2
1.0
7.918 0.000 0.000
0.000 7.918 0.000
0.000 0.000 2.846
Rh Ta Na
4 4 2
direct
0.643 0.143 0.000 Rh
0.357 0.857 0.000 Rh
0.857 0.643 0.000 Rh
0.143 0.357 0.000 Rh
0.851 0.351 0.500 Ta
0.149 0.649 0.500 Ta
0.649 0.851 0.500 Ta
0.351 0.149 0.500 Ta
0.500 0.500 0.000 Na
0.000 0.000 0.000 Na
```

Version two
This record from the Alexandria database describes crystalline NaTa2Rh2 at its relaxed geometry. The functional is PBE-GGA.

Magnetization: 0.0 μB/cell

Geometry as POSCAR:
```
NaTa2Rh2
1.0
7.971 0.000 0.000
0.000 7.971 0.000
0.000 0.000 2.814
Rh Na Ta
4 2 4
direct
0.349 0.151 0.500 Rh
0.651 0.849 0.500 Rh
0.151 0.651 0.500 Rh
0.849 0.349 0.500 Rh
0.500 0.500 0.000 Na
0.000 0.000 0.000 Na
0.858 0.642 0.000 Ta
0.358 0.858 0.000 Ta
0.642 0.142 0.000 Ta
0.142 0.358 0.000 Ta
```

Energies relative to the most stable structure, in meV/atom: version one 0; version two 28.

Version one
This record from the Alexandria database describes crystalline Na3TaRh at its relaxed geometry. The functional is PBE-GGA.

Magnetization: 0.0 μB/cell

Geometry as POSCAR:
```
Na3TaRh
1.0
5.078 0.000 0.000
0.000 5.078 0.000
0.000 0.000 5.078
Na Ta Rh
3 1 1
direct
0.000 0.000 0.500 Na
0.500 0.000 0.000 Na
0.000 0.500 0.000 Na
0.500 0.500 0.500 Ta
0.000 0.000 0.000 Rh
```

Version two
This record from the Alexandria database describes crystalline Na3TaRh at its relaxed geometry. The functional is PBE-GGA.

Magnetization: 4.6 μB/cell

Geometry as POSCAR:
```
Na3TaRh
1.0
5.709 0.000 0.000
0.000 5.709 0.000
0.000 0.000 5.709
Rh Ta Na
1 1 3
direct
0.500 0.500 0.500 Rh
0.000 0.000 0.000 Ta
0.000 0.500 0.000 Na
0.000 0.000 0.500 Na
0.500 0.000 0.000 Na
```

Energies relative to the most stable structure, in meV/atom: version one 0; version two 429.

Version one
This record from the Alexandria database describes crystalline NaTc3Rh at its relaxed geometry. The functional is PBE-GGA.

Magnetization: 2.6 μB/cell

Geometry as POSCAR:
```
NaTc3Rh
1.0
4.744 0.000 0.000
0.000 4.744 0.000
0.000 0.000 4.744
Tc Rh Na
3 1 1
direct
0.500 0.000 0.000 Tc
0.000 0.000 0.500 Tc
0.000 0.500 0.000 Tc
0.000 0.000 0.000 Rh
0.500 0.500 0.500 Na
```

Version two
This record from the Alexandria database describes crystalline NaTc3Rh at its relaxed geometry. The functional is PBE-GGA.

Magnetization: 1.5 μB/cell

Geometry as POSCAR:
```
NaTc3Rh
1.0
-4.074 1.462 0.667
-1.312 -1.976 -3.681
-0.928 -3.624 2.276
Rh Tc Na
1 3 1
direct
0.500 0.500 0.500 Rh
0.000 0.000 0.500 Tc
0.000 0.500 0.000 Tc
0.500 0.000 0.000 Tc
0.000 0.000 0.000 Na
```

Energies relative to the most stable structure, in meV/atom: version one 0; version two 799.

Version one
This record from the Alexandria database describes crystalline NaTcRh3 at its relaxed geometry. The functional is PBE-GGA.

Magnetization: 0.0 μB/cell

Geometry as POSCAR:
```
NaTcRh3
1.0
4.714 0.000 0.000
0.000 4.714 0.000
0.000 0.000 4.714
Tc Rh Na
1 3 1
direct
0.000 0.000 0.000 Tc
0.000 0.000 0.500 Rh
0.500 0.000 0.000 Rh
0.000 0.500 0.000 Rh
0.500 0.500 0.500 Na
```

Version two
This record from the Alexandria database describes crystalline NaTcRh3 at its relaxed geometry. The functional is PBE-GGA.

Magnetization: 0.0 μB/cell

Geometry as POSCAR:
```
NaTcRh3
1.0
-2.495 3.352 1.273
-1.944 0.038 -3.911
-3.012 -2.801 1.470
Rh Na Tc
3 1 1
direct
0.000 0.500 0.000 Rh
0.500 0.000 0.000 Rh
0.000 0.000 0.500 Rh
0.000 0.000 0.000 Na
0.500 0.500 0.500 Tc
```

Energies relative to the most stable structure, in meV/atom: version one 0; version two 1066.